An optimized crystal structure of NaHfSc. Source: Alexandria via LeMat-Bulk, functional PBE-GGA.

Cell: 5.1387 5.1387 6.4012 Å, 90.00 90.00 120.00°
Closest atoms and distances in Å follow each position.
Atoms (fractional coordinates):
Na (0.3333, 0.6667, 0.2500)  5 Hf 2.97-3.20
Na (0.6667, 0.3333, 0.7500)  5 Hf 2.97-3.20
Hf (0.3333, 0.6667, 0.7500)  5 Na 2.97-3.20
Hf (0.6667, 0.3333, 0.2500)  5 Na 2.97-3.20
Sc (0.0000, 0.0000, 0.0000)  2 Sc 3.20, 6 Hf 3.37, 6 Na 3.37
Sc (0.0000, 0.0000, 0.5000)  2 Sc 3.20, 6 Hf 3.37, 6 Na 3.37

Properties
Space-group type = P6_3/mmc (194)
Energy above the lowest structure with this stoichiometry = 658 meV/atom
Energy of formation from the pure elements = 0.818 eV per atom

An optimized crystal structure of Nd4SmTl3. Source: Alexandria via LeMat-Bulk, functional PBE-GGA.

Cell: 11.1355 11.1355 5.0896 Å, 103.15 103.15 23.49°
Closest atoms and distances in Å follow each position.
Atoms (fractional coordinates):
Nd (0.1183, 0.1183, 0.1187)  6 Tl 3.38-3.41, 2 Sm 3.57-3.58, 2 Nd 3.57
Nd (0.2366, 0.2366, 0.7368)  2 Tl 3.28, 6 Nd 3.45-3.57
Nd (0.7634, 0.7634, 0.2632)  2 Tl 3.28, 6 Nd 3.45-3.57
Nd (0.8817, 0.8817, 0.8813)  6 Tl 3.38-3.41, 2 Sm 3.57-3.58, 2 Nd 3.57
Sm (0.0000, 0.0000, 0.5000)  8 Tl 3.41-3.48, 4 Nd 3.57-3.58
Tl (0.3753, 0.3753, 0.3752)  6 Nd 3.28-3.41, 2 Sm 3.48, 2 Tl 3.67
Tl (0.5000, 0.5000, 0.0000)  4 Nd 3.38, 4 Sm 3.41, 4 Tl 3.67
Tl (0.6247, 0.6247, 0.6248)  6 Nd 3.28-3.41, 2 Sm 3.48, 2 Tl 3.67

Properties
Space-group type = C2/m (12)
Energy above the lowest structure with this stoichiometry = 0 meV/atom
Energy of formation from the pure elements = -0.273 eV per atom

An optimized crystal structure of InBRh2. Source: Alexandria via LeMat-Bulk, functional PBE-GGA.

Cell: 4.9765 4.9765 5.6071 Å, 97.61 97.61 61.06°
Closest atoms and distances in Å follow each position.
Atoms (fractional coordinates):
In (0.0000, 0.5000, 0.0000)  2 B 2.68, 8 Rh 2.81-2.97
In (0.5000, 0.0000, 0.5000)  2 B 2.68, 8 Rh 2.81-2.97
B (0.0020, 0.9980, 0.2500)  4 Rh 2.02-2.04
B (0.9980, 0.0020, 0.7500)  4 Rh 2.02-2.04
Rh (0.1796, 0.6616, 0.4851)  2 B 2.02-2.04
Rh (0.3384, 0.8204, 0.0149)  2 B 2.02-2.04
Rh (0.6616, 0.1796, 0.9851)  2 B 2.02-2.04
Rh (0.8204, 0.3384, 0.5149)  2 B 2.02-2.04

Properties
Space-group type = C2/c (15)
Energy of formation from the pure elements = -0.146 eV per atom